# Li4Ho3Au4

Crystalline Li4Ho3Au4 at its relaxed geometry (PBE, the Alexandria database).

Cell: 3.995 7.800 8.397 Å, 117.67 103.76 90.00°
Positions (direct):
Li 0.324 0.129 0.647
Li 0.676 0.481 0.353
Li 0.676 0.871 0.353
Li 0.324 0.519 0.647
Ho 0.120 0.120 0.240
Ho 0.880 0.880 0.760
Ho 0.000 0.500 0.000
Au 0.223 0.723 0.446
Au 0.777 0.277 0.554
Au 0.500 0.802 0.000
Au 0.500 0.198 0.000

Computed properties:
Final energy, eV per atom: -3.7321
Formation energy from the elements, eV/atom: -0.596
D(E_F), states/eV/atom: 0.616
SG: Immm

# La12Pr7Ho

Crystalline La12Pr7Ho at its relaxed geometry (PBE, the Alexandria database).

Cell: 7.108 12.510 11.896 Å, 56.98 75.07 106.44°
Positions (direct):
La 0.734 0.437 0.155
La 0.300 0.045 0.453
La 0.128 0.344 0.261
La 0.413 0.773 0.410
La 0.528 0.463 0.654
La 0.965 0.379 0.713
La 0.035 0.621 0.287
La 0.472 0.537 0.346
La 0.587 0.227 0.590
La 0.872 0.656 0.739
La 0.700 0.955 0.547
La 0.266 0.563 0.845
Pr 0.813 0.165 0.135
Pr 0.998 0.875 0.342
Pr 0.404 0.260 0.035
Pr 0.500 0.000 0.000
Pr 0.596 0.740 0.965
Pr 0.002 0.125 0.658
Pr 0.187 0.835 0.865
Ho 0.000 0.000 0.000

Computed properties:
Final energy, eV per atom: -4.8062
Formation energy from the elements, eV/atom: 0.052
D(E_F), states/eV/atom: 1.696
SG: P-1